This record from Alexandria via LeMat-Bulk describes CrTcIr2 at its PBEsol-relaxed geometry. The functional is meta-GGA SCAN.

Unit cell a=3.766 b=3.766 c=7.546 alpha=90.00 beta=90.00 gamma=90.00
Atoms (fractional coordinates):
Cr (0.000, 0.000, 0.000)
Cr (0.500, 0.500, 0.500)
Tc (0.000, 0.000, 0.500)
Tc (0.500, 0.500, 0.000)
Ir (0.000, 0.500, 0.250)
Ir (0.000, 0.500, 0.750)
Ir (0.500, 0.000, 0.250)
Ir (0.500, 0.000, 0.750)

Results
ΔE_f in eV/f.u.: -1.3
ΔE to the lowest computed polymorph in meV/atom: 36
Uncorrected energy in eV per formula unit: -196.893
Symmetry: I4/mmm, No. 139